This record from Alexandria via LeMat-Bulk describes an optimized crystal structure of LiPaInPd. The functional is PBE.

Properties
- formation energy from the elements (meV/atom) = -284
- DOS at the Fermi energy (states/eV per cell) = 16.74
- VASP energy (eV/cell) = -81.91

CIF file:
```
data_LiPaInPd
_chemical_formula_sum 'Li4 Pa4 In4 Pd4'
_space_group_name_H-M_alt 'F -4 3 m'
_space_group_IT_number 216
_space_group_name_Hall 'F -4 2 3'
_cell_length_a 6.8220
_cell_length_b 6.8220
_cell_length_c 6.8220
_cell_angle_alpha 90.00
_cell_angle_beta 90.00
_cell_angle_gamma 90.00
loop_
_atom_site_label
_atom_site_fract_x
_atom_site_fract_y
_atom_site_fract_z
Li1 0.0000 0.0000 0.0000
Pa1 0.2500 0.2500 0.7500
In1 0.2500 0.2500 0.2500
Pd1 0.0000 0.0000 0.5000
```